1.
Here is a geometry-optimized Sc4SnPtO structure from the Alexandria database. Energies are from GGA-PBE.

Output
**Space-group type**: No. 63
**Volume**: 271 Å³/cell

Cell lengths 7.879, 7.879, 6.101 Å; angles 90.00, 90.00, 134.43 degrees
Atoms (fractional coordinates):
Sc 0.000 0.500 0.000
Sc 0.000 0.500 0.500
Sc 0.062 0.938 0.750
Sc 0.411 0.589 0.750
Sc 0.500 0.000 0.000
Sc 0.500 0.000 0.500
Sc 0.589 0.411 0.250
Sc 0.938 0.062 0.250
Sn 0.392 0.608 0.250
Sn 0.608 0.392 0.750
Pt 0.120 0.880 0.250
Pt 0.880 0.120 0.750
O 0.255 0.745 0.750
O 0.745 0.255 0.250

---

2.
Here is a geometry-optimized Sr2ScPt3O12 structure from the Alexandria database. Energies are from GGA-PBE.

Output
**Space-group type**: No. 166
**Volume**: 245 Å³/cell

Cell lengths 6.815, 6.815, 6.815 Å; angles 64.25, 64.25, 64.25 degrees
Atoms (fractional coordinates):
Sr 0.118 0.118 0.118
Sr 0.882 0.882 0.882
Sc 0.500 0.500 0.500
Pt 0.000 0.500 0.500
Pt 0.500 0.000 0.500
Pt 0.500 0.500 0.000
O 0.129 0.617 0.617
O 0.186 0.186 0.623
O 0.186 0.623 0.186
O 0.377 0.814 0.814
O 0.383 0.383 0.871
O 0.383 0.871 0.383
O 0.617 0.129 0.617
O 0.617 0.617 0.129
O 0.623 0.186 0.186
O 0.814 0.377 0.814
O 0.814 0.814 0.377
O 0.871 0.383 0.383

---

3.
Here is a geometry-optimized SrSc4Pt3O12 structure from the Alexandria database. Energies are from GGA-PBE.

Output
**Space-group type**: No. 204
**Volume**: 246 Å³/cell

Cell lengths 6.836, 6.836, 6.836 Å; angles 109.47, 109.47, 109.47 degrees
Atoms (fractional coordinates):
Sr 0.000 0.000 0.000
Sc 0.000 0.000 0.500
Sc 0.000 0.500 0.000
Sc 0.500 0.000 0.000
Sc 0.500 0.500 0.500
Pt 0.000 0.500 0.500
Pt 0.500 0.000 0.500
Pt 0.500 0.500 0.000
O 0.142 0.312 0.830
O 0.170 0.482 0.312
O 0.170 0.858 0.688
O 0.312 0.170 0.482
O 0.312 0.830 0.142
O 0.482 0.312 0.170
O 0.518 0.688 0.830
O 0.688 0.170 0.858
O 0.688 0.830 0.518
O 0.830 0.142 0.312
O 0.830 0.518 0.688
O 0.858 0.688 0.170

---

4.
Here is a geometry-optimized SrScPtO4 structure from the Alexandria database. Energies are from GGA-PBE.

Output
**Space-group type**: No. 74
**Volume**: 209 Å³/cell

Cell lengths 6.771, 6.771, 6.771 Å; angles 123.46, 122.35, 85.04 degrees
Atoms (fractional coordinates):
Sr 0.367 0.117 0.250
Sr 0.633 0.883 0.750
Sc 0.000 0.000 0.500
Sc 0.000 0.500 0.000
Pt 0.000 0.500 0.500
Pt 0.500 0.500 0.000
O 0.206 0.247 0.958
O 0.211 0.753 0.458
O 0.221 0.271 0.550
O 0.221 0.670 0.950
O 0.779 0.330 0.050
O 0.779 0.729 0.450
O 0.789 0.247 0.542
O 0.794 0.753 0.042

---

5.
Here is a geometry-optimized Sr2ScPtO structure from the Alexandria database. Energies are from GGA-PBE.

Output
**Space-group type**: No. 123
**Volume**: 155 Å³/cell

Cell lengths 6.315, 6.315, 3.875 Å; angles 90.00, 90.00, 90.00 degrees
Atoms (fractional coordinates):
Sr 0.000 0.500 0.000
Sr 0.500 0.000 0.000
Sc 0.000 0.000 0.500
Pt 0.500 0.500 0.000
O 0.500 0.500 0.500

---

6.
Here is a geometry-optimized ScTi2PtO structure from the Alexandria database. Energies are from GGA-PBE.

Output
**Space-group type**: No. 123
**Volume**: 73 Å³/cell

Cell lengths 4.113, 4.113, 4.299 Å; angles 90.00, 90.00, 90.00 degrees
Atoms (fractional coordinates):
Sc 0.000 0.000 0.000
Ti 0.000 0.500 0.500
Ti 0.500 0.000 0.500
Pt 0.500 0.500 0.000
O 0.000 0.000 0.500

---

7.
Here is a geometry-optimized ScTiPt2O structure from the Alexandria database. Energies are from GGA-PBE.

Output
**Space-group type**: No. 123
**Volume**: 81 Å³/cell

Cell lengths 4.635, 4.635, 3.754 Å; angles 90.00, 90.00, 90.00 degrees
Atoms (fractional coordinates):
Sc 0.000 0.000 0.000
Ti 0.500 0.500 0.000
Pt 0.000 0.500 0.500
Pt 0.500 0.000 0.500
O 0.500 0.500 0.500

---

Number 1: size of the total moment 0.00 μB per atom, formation energy without anion corrections -1.418 eV per atom. Number 2: size of the total moment 0.00 μB per atom, formation energy without anion corrections -1.233 eV per atom. Number 3: size of the total moment 0.00 μB per atom, formation energy without anion corrections -2.153 eV per atom. Number 4: size of the total moment 0.14 μB per atom, formation energy without anion corrections -2.091 eV per atom. Number 5: size of the total moment 0.10 μB per atom, formation energy without anion corrections -0.087 eV per atom. Number 6: size of the total moment 0.00 μB per atom, formation energy without anion corrections -1.566 eV per atom. Number 7: size of the total moment 0.00 μB per atom, formation energy without anion corrections -0.788 eV per atom.